A geometry-optimized AcBePO structure, computed with PBE-GGA.

a = 4.091 Å, b = 4.091 Å, c = 4.999 Å
α = 90.00°, β = 90.00°, γ = 120.00°
Element x y z (fractional)
1 Ac 0.000 0.000 0.000
2 Be 0.667 0.333 0.559
3 P 0.333 0.667 0.435
4 O 0.667 0.333 0.873

Summary:
Energy ... -6.40 eV/atom
SG ... P3m1, No. 156